1.
10
Lattice="8.650 0.000 0.000 0.000 8.650 0.000 0.000 0.000 3.971" Properties=species:S:1:pos:R:3 comment="TlBi2Se2 (PBE, relaxed)" e_tot_ev_per_atom=-3.518 total_magnetization_mub_per_cell=0.00 crystal_system=tetragonal vol_a3_per_cell=297.14 rho_g_cm3=8.7 relative_energy_mev_per_atom=55.9 raw_formation_energy_mev_per_atom=-98 pbc="T T T"
Bi 7.305 5.670 0.000
Se 7.131 2.806 1.986
Se 5.844 7.131 1.986
Se 2.806 1.519 1.986
Tl 4.325 4.325 0.000
Bi 1.345 2.980 0.000
Bi 2.980 7.305 0.000
Tl 0.000 0.000 0.000
Bi 5.670 1.345 0.000
Se 1.519 5.844 1.986

---

2.
9
Lattice="-1.901 -0.371 -3.909 1.658 -6.881 -2.587 -7.360 -6.065 1.721" Properties=species:S:1:pos:R:3 comment="Tl4BiSe4 (PBE, relaxed)" e_tot_ev_per_atom=-3.388 total_magnetization_mub_per_cell=0.00 crystal_system=monoclinic vol_a3_per_cell=283.57 rho_g_cm3=7.9 relative_energy_mev_per_atom=0.0 raw_formation_energy_mev_per_atom=-356 pbc="T T T"
Se -4.810 -11.076 -3.912
Bi -0.950 -0.185 -1.954
Se -2.793 -2.242 -0.863
Tl -5.330 -9.248 -1.398
Se -7.899 -7.855 -2.715
Se 0.296 -5.463 -2.060
Tl -2.273 -4.069 -3.377
Tl -4.040 -5.234 0.027
Tl -3.563 -8.084 -4.803

---

3.
8
Lattice="6.825 0.000 0.000 0.000 6.825 0.000 3.412 3.412 6.982" Properties=species:S:1:pos:R:3 comment="Tl2BiSe (PBE, relaxed)" e_tot_ev_per_atom=-3.025 total_magnetization_mub_per_cell=0.00 crystal_system=tetragonal vol_a3_per_cell=325.20 rho_g_cm3=7.1 relative_energy_mev_per_atom=0.0 raw_formation_energy_mev_per_atom=0 pbc="T T T"
Bi 0.000 0.000 0.000
Tl 1.816 5.118 1.746
Tl 5.118 5.228 5.237
Bi 6.825 3.412 3.491
Se 3.412 3.412 0.000
Tl 5.009 1.706 1.746
Se 3.412 6.825 3.491
Tl 8.531 8.421 5.237